Entry from Alexandria: Cu5Pt2Rh after structural relaxation (GGA-PBE).

Lattice parameters (Å, degrees): 3.778 5.309 10.605 90.00 90.00 90.00
Fractional positions:
Cu: 0.500 0.244 0.375
Cu: 0.000 0.016 0.751
Cu: 0.500 0.256 0.875
Cu: 0.000 0.984 0.249
Cu: 0.000 0.484 0.251
Cu: 0.500 0.756 0.625
Cu: 0.500 0.744 0.125
Cu: 0.000 0.500 0.500
Cu: 0.000 0.516 0.749
Cu: 0.000 0.000 0.000
Rh: 0.000 0.500 0.000
Rh: 0.000 0.000 0.500
Pt: 0.500 0.238 0.128
Pt: 0.500 0.262 0.628
Pt: 0.500 0.762 0.872
Pt: 0.500 0.738 0.372

* magnetic moment: 0.00 μB/f.u.
* energy relative to the lowest polymorph listed for this composition: 0.0 meV/atom
* final energy: -5.065 eV/atom
* energy of formation from the pure elements: -0.0762 eV/atom
* Fermi-level density of states: 1.27 states/eV per atom